1.
# RbNaInAg2 (PBE, optimized geometry)
# Space-group type ... No. 123
# Formation enthalpy at 0 K ... 0.457 eV per formula unit
# ρ ... 4.2 Mg/m³
# Total energy ... -2.054 eV/atom
data_RbNaInAg2
_space_group_name_H-M_alt 'P 1'
_space_group_IT_number 1
_space_group_name_Hall 'P 1'
_cell_length_a 5.4365
_cell_length_b 5.4365
_cell_length_c 5.8316
_cell_angle_alpha 90.00
_cell_angle_beta 90.00
_cell_angle_gamma 90.00
loop_
_atom_site_label
_atom_site_type_symbol
_atom_site_fract_x
_atom_site_fract_y
_atom_site_fract_z
_atom_site_occupancy
Na1 Na 0.0000 0.0000 0.5000 1
Rb1 Rb 0.5000 0.5000 0.5000 1
Ag1 Ag 0.0000 0.5000 0.0000 1
Ag2 Ag 0.5000 0.0000 0.0000 1
In1 In 0.0000 0.0000 0.0000 1

=====

2.
# NaIn2ReAg (PBE, optimized geometry)
# Space-group type ... No. 123
# Formation enthalpy at 0 K ... 6.309 eV per formula unit
# ρ ... 6.7 Mg/m³
# Total energy ... -3.157 eV/atom
data_NaIn2ReAg
_space_group_name_H-M_alt 'P 1'
_space_group_IT_number 1
_space_group_name_Hall 'P 1'
_cell_length_a 5.1837
_cell_length_b 5.0298
_cell_length_c 5.1837
_cell_angle_alpha 90.00
_cell_angle_beta 90.00
_cell_angle_gamma 90.00
loop_
_atom_site_label
_atom_site_type_symbol
_atom_site_fract_x
_atom_site_fract_y
_atom_site_fract_z
_atom_site_occupancy
Re1 Re 0.5000 0.5000 0.5000 1
Na1 Na 0.0000 0.5000 0.0000 1
Ag1 Ag 0.0000 0.0000 0.0000 1
In1 In 0.0000 0.0000 0.5000 1
In2 In 0.5000 0.0000 0.0000 1

=====

3.
# NaIn2AgRh (PBE, optimized geometry)
# Space-group type ... No. 123
# Formation enthalpy at 0 K ... 4.981 eV per formula unit
# ρ ... 6.1 Mg/m³
# Total energy ... -2.403 eV/atom
data_NaIn2AgRh
_space_group_name_H-M_alt 'P 1'
_space_group_IT_number 1
_space_group_name_Hall 'P 1'
_cell_length_a 5.1948
_cell_length_b 4.7030
_cell_length_c 5.1948
_cell_angle_alpha 90.00
_cell_angle_beta 90.00
_cell_angle_gamma 90.00
loop_
_atom_site_label
_atom_site_type_symbol
_atom_site_fract_x
_atom_site_fract_y
_atom_site_fract_z
_atom_site_occupancy
Na1 Na 0.0000 0.0000 0.0000 1
Rh1 Rh 0.0000 0.5000 0.0000 1
Ag1 Ag 0.5000 0.5000 0.5000 1
In1 In 0.0000 0.0000 0.5000 1
In2 In 0.5000 0.0000 0.0000 1

=====

4.
# NaInAgSe2 (PBE, optimized geometry)
# Space-group type ... No. 123
# Raw formation energy ... 1.52 eV/f.u.
# ρ ... 4.2 Mg/m³
# Total energy ... -2.472 eV/atom
data_NaInAgSe2
_space_group_name_H-M_alt 'P 1'
_space_group_IT_number 1
_space_group_name_Hall 'P 1'
_cell_length_a 5.3877
_cell_length_b 5.4490
_cell_length_c 5.3877
_cell_angle_alpha 90.00
_cell_angle_beta 90.00
_cell_angle_gamma 90.00
loop_
_atom_site_label
_atom_site_type_symbol
_atom_site_fract_x
_atom_site_fract_y
_atom_site_fract_z
_atom_site_occupancy
Na1 Na 0.0000 0.5000 0.0000 1
Se1 Se 0.0000 0.0000 0.5000 1
Se2 Se 0.5000 0.0000 0.0000 1
Ag1 Ag 0.5000 0.5000 0.5000 1
In1 In 0.0000 0.0000 0.0000 1

=====

5.
# NaIn2Ag2Sn2 (PBE, optimized geometry)
# Space-group type ... No. 166
# Formation enthalpy at 0 K ... -0.195 eV per formula unit
# ρ ... 6.7 Mg/m³
# Total energy ... -2.957 eV/atom
data_NaIn2Ag2Sn2
_space_group_name_H-M_alt 'P 1'
_space_group_IT_number 1
_space_group_name_Hall 'P 1'
_cell_length_a 4.9378
_cell_length_b 4.9378
_cell_length_c 8.7179
_cell_angle_alpha 73.55
_cell_angle_beta 73.55
_cell_angle_gamma 60.00
loop_
_atom_site_label
_atom_site_type_symbol
_atom_site_fract_x
_atom_site_fract_y
_atom_site_fract_z
_atom_site_occupancy
Na1 Na 0.0000 0.0000 0.0000 1
In1 In 0.1341 0.1341 0.5977 1
In2 In 0.8659 0.8659 0.4023 1
Ag1 Ag 0.5947 0.5947 0.2159 1
Ag2 Ag 0.4053 0.4053 0.7841 1
Sn1 Sn 0.7334 0.7334 0.7998 1
Sn2 Sn 0.2666 0.2666 0.2002 1

=====

6.
# Na2In6AgSn (PBE, optimized geometry)
# Space-group type ... No. 166
# Formation enthalpy at 0 K ... 1.050 eV per formula unit
# ρ ... 4.9 Mg/m³
# Total energy ... -2.487 eV/atom
data_Na2In6AgSn
_space_group_name_H-M_alt 'P 1'
_space_group_IT_number 1
_space_group_name_Hall 'P 1'
_cell_length_a 7.4958
_cell_length_b 7.4958
_cell_length_c 14.1480
_cell_angle_alpha 74.64
_cell_angle_beta 74.64
_cell_angle_gamma 60.00
loop_
_atom_site_label
_atom_site_type_symbol
_atom_site_fract_x
_atom_site_fract_y
_atom_site_fract_z
_atom_site_occupancy
Na1 Na 0.8705 0.8705 0.3885 1
Na2 Na 0.1295 0.1295 0.6115 1
Na3 Na 0.7234 0.7234 0.8298 1
Na4 Na 0.2766 0.2766 0.1702 1
In1 In 0.9229 0.3397 0.3976 1
In2 In 0.3397 0.9229 0.3976 1
In3 In 0.3397 0.3397 0.3976 1
In4 In 0.0771 0.6603 0.6024 1
In5 In 0.6603 0.0771 0.6024 1
In6 In 0.6603 0.6603 0.6024 1
In7 In 0.7880 0.1910 0.8300 1
In8 In 0.1910 0.7880 0.8300 1
In9 In 0.1910 0.1910 0.8300 1
In10 In 0.2120 0.8090 0.1700 1
In11 In 0.8090 0.2120 0.1700 1
In12 In 0.8090 0.8090 0.1700 1
Ag1 Ag 0.0000 0.0000 0.0000 1
Ag2 Ag 0.5000 0.5000 0.5000 1
Sn1 Sn 0.5796 0.5796 0.2613 1
Sn2 Sn 0.4204 0.4204 0.7387 1

=====

7.
# NaInAgSn (PBE, optimized geometry)
# Space-group type ... No. 216
# Formation enthalpy at 0 K ... -0.122 eV per formula unit
# Excess energy over the best structure of this formula in the dataset ... 0 meV/atom
# ρ ... 6.5 Mg/m³
# Total energy ... -2.758 eV/atom
data_NaInAgSn
_space_group_name_H-M_alt 'P 1'
_space_group_IT_number 1
_space_group_name_Hall 'P 1'
_cell_length_a 5.0845
_cell_length_b 5.0845
_cell_length_c 5.0845
_cell_angle_alpha 60.00
_cell_angle_beta 60.00
_cell_angle_gamma 60.00
loop_
_atom_site_label
_atom_site_type_symbol
_atom_site_fract_x
_atom_site_fract_y
_atom_site_fract_z
_atom_site_occupancy
Na1 Na 0.2500 0.2500 0.2500 1
Sn1 Sn 0.5000 0.5000 0.5000 1
Ag1 Ag 0.7500 0.7500 0.7500 1
In1 In 0.0000 0.0000 0.0000 1

=====

8.
# NaInAgSn (PBE, optimized geometry)
# Space-group type ... No. 8
# Formation enthalpy at 0 K ... 0.051 eV per formula unit
# Excess energy over the best structure of this formula in the dataset ... 43 meV/atom
# ρ ... 6.1 Mg/m³
# Total energy ... -2.715 eV/atom
data_NaInAgSn
_space_group_name_H-M_alt 'P 1'
_space_group_IT_number 1
_space_group_name_Hall 'P 1'
_cell_length_a 3.4939
_cell_length_b 5.1847
_cell_length_c 7.8613
_cell_angle_alpha 129.14
_cell_angle_beta 90.00
_cell_angle_gamma 109.69
loop_
_atom_site_label
_atom_site_type_symbol
_atom_site_fract_x
_atom_site_fract_y
_atom_site_fract_z
_atom_site_occupancy
Na1 Na 0.3885 0.7769 0.6660 1
In1 In 0.2641 0.5282 0.9295 1
Ag1 Ag 0.5440 0.0881 0.4446 1
Sn1 Sn 0.6993 0.3986 0.2155 1

=====

9.
# NaSr2InAg6 (PBE, optimized geometry)
# Space-group type ... No. 225
# Formation enthalpy at 0 K ... 1.625 eV per formula unit
# ρ ... 5.6 Mg/m³
# Total energy ... -2.290 eV/atom
data_NaSr2InAg6
_space_group_name_H-M_alt 'P 1'
_space_group_IT_number 1
_space_group_name_Hall 'P 1'
_cell_length_a 7.3996
_cell_length_b 7.3995
_cell_length_c 7.3996
_cell_angle_alpha 60.00
_cell_angle_beta 60.00
_cell_angle_gamma 90.00
loop_
_atom_site_label
_atom_site_type_symbol
_atom_site_fract_x
_atom_site_fract_y
_atom_site_fract_z
_atom_site_occupancy
Na1 Na 0.5000 0.5000 0.0000 1
Sr1 Sr 0.2500 0.7500 0.5000 1
Sr2 Sr 0.7500 0.2500 0.5000 1
In1 In 0.0000 0.0000 0.0000 1
Ag1 Ag 0.2537 0.7463 0.0000 1
Ag2 Ag 0.7463 0.7463 0.0000 1
Ag3 Ag 0.2537 0.2537 0.4926 1
Ag4 Ag 0.7463 0.2537 0.0000 1
Ag5 Ag 0.2537 0.2537 0.0000 1
Ag6 Ag 0.7463 0.7463 0.5074 1

=====

10.
# NaSr4In2Ag (PBE, optimized geometry)
# Space-group type ... No. 166
# Formation enthalpy at 0 K ... -2.268 eV per formula unit
# ρ ... 4.3 Mg/m³
# Total energy ... -2.330 eV/atom
data_NaSr4In2Ag
_space_group_name_H-M_alt 'P 1'
_space_group_IT_number 1
_space_group_name_Hall 'P 1'
_cell_length_a 5.7953
_cell_length_b 5.7953
_cell_length_c 10.0812
_cell_angle_alpha 73.30
_cell_angle_beta 73.30
_cell_angle_gamma 60.00
loop_
_atom_site_label
_atom_site_type_symbol
_atom_site_fract_x
_atom_site_fract_y
_atom_site_fract_z
_atom_site_occupancy
Na1 Na 0.0000 0.0000 0.0000 1
Sr1 Sr 0.3823 0.3823 0.8531 1
Sr2 Sr 0.8690 0.8690 0.3930 1
Sr3 Sr 0.1310 0.1310 0.6070 1
Sr4 Sr 0.6177 0.6177 0.1469 1
In1 In 0.7449 0.7449 0.7652 1
In2 In 0.2551 0.2551 0.2348 1
Ag1 Ag 0.5000 0.5000 0.5000 1

=====

11.
# NaTbInAg (PBE, optimized geometry)
# Space-group type ... No. 216
# Formation enthalpy at 0 K ... -0.700 eV per formula unit
# ρ ... 6.8 Mg/m³
# Total energy ... -3.060 eV/atom
data_NaTbInAg
_space_group_name_H-M_alt 'P 1'
_space_group_IT_number 1
_space_group_name_Hall 'P 1'
_cell_length_a 5.1784
_cell_length_b 5.1784
_cell_length_c 5.1784
_cell_angle_alpha 60.00
_cell_angle_beta 60.00
_cell_angle_gamma 60.00
loop_
_atom_site_label
_atom_site_type_symbol
_atom_site_fract_x
_atom_site_fract_y
_atom_site_fract_z
_atom_site_occupancy
Na1 Na 0.5000 0.5000 0.5000 1
Tb1 Tb 0.0000 0.0000 0.0000 1
Ag1 Ag 0.2500 0.2500 0.2500 1
In1 In 0.7500 0.7500 0.7500 1

=====

12.
# NaIn2AgTe4 (PBE, optimized geometry)
# Space-group type ... No. 121
# Raw formation energy ... -3.27 eV/f.u.
# ρ ... 4.9 Mg/m³
# Total energy ... -3.186 eV/atom
data_NaIn2AgTe4
_space_group_name_H-M_alt 'P 1'
_space_group_IT_number 1
_space_group_name_Hall 'P 1'
_cell_length_a 6.4948
_cell_length_b 8.3713
_cell_length_c 8.3713
_cell_angle_alpha 45.67
_cell_angle_beta 67.17
_cell_angle_gamma 67.17
loop_
_atom_site_label
_atom_site_type_symbol
_atom_site_fract_x
_atom_site_fract_y
_atom_site_fract_z
_atom_site_occupancy
Na1 Na 0.0000 0.0000 0.0000 1
In1 In 0.2500 0.2500 0.2500 1
In2 In 0.7500 0.7500 0.7500 1
Ag1 Ag 0.5000 0.5000 0.5000 1
Te1 Te 0.3914 0.1334 0.6087 1
Te2 Te 0.1335 0.8666 0.3913 1
Te3 Te 0.8665 0.6087 0.1334 1
Te4 Te 0.6086 0.3913 0.8666 1